VASP calculation (PBE) on HoTm3S3 after structural relaxation.

The value obtained for the spin magnetization is 0.00 μB per formula unit. The calculation puts the volume at 157 Å³/f.u. The calculation puts the uncorrected formation energy at -11.5 eV/f.u.

The space group is P4_2/mnm (No. 136) and the conventional cell measures 10.806, 10.806 and 5.372 Å, with angles of 90.00, 90.00 and 90.00 degrees. The asymmetric unit holds Ho at (0.121, 0.121, 0.000), Tm at (0.121, 0.627, 0.000), Tm at (0.126, 0.874, 0.500), S at (0.125, 0.375, 0.000) and S at (0.127, 0.873, 0.000).

---

VASP calculation (PBE) on OsCS2Cl after structural relaxation.

The energy above the most stable polymorph in this dataset comes out at 0.0 meV/atom. The value obtained for the spin magnetization is 1.80 μB per formula unit. The calculation puts the volume at 102 Å³/f.u. The calculation puts the uncorrected formation energy at 8.4 eV/f.u.

The space group is P4/mmm (No. 123) and the conventional cell measures 4.511, 4.511 and 5.012 Å, with angles of 90.00, 90.00 and 90.00 degrees. The asymmetric unit holds Os at (0.000, 0.000, 0.000), C at (0.500, 0.500, 0.500), S at (0.000, 0.500, 0.000) and Cl at (0.000, 0.000, 0.500).

---

VASP calculation (PBE) on Cu5SnAu7 after structural relaxation.

The energy relative to the elements comes out at -0.008 eV per atom. The value obtained for the spin magnetization is 0.00 μB per formula unit. The calculation puts the volume at 218 Å³/f.u.

The space group is Imm2 (No. 44) and the conventional cell measures 5.243, 9.011 and 9.218 Å, with angles of 90.00, 90.00 and 90.00 degrees. The asymmetric unit holds Cu at (0.000, 0.000, 0.000), Cu at (0.248, 0.245, 0.986), Sn at (0.000, 0.500, 0.724), Au at (0.000, 0.000, 0.470), Au at (0.000, 0.162, 0.742), Au at (0.000, 0.197, 0.232), Au at (0.000, 0.500, 0.079) and Au at (0.000, 0.500, 0.401).

---

VASP calculation (PBE) on MnBe3Zn after structural relaxation.

The energy above the most stable polymorph in this dataset comes out at 0.0 meV/atom. The energy relative to the elements comes out at 0.841 eV per atom. The value obtained for the spin magnetization is 3.90 μB per formula unit. The calculation puts the volume at 67 Å³/f.u.

The space group is Pm-3m (No. 221) and the conventional cell measures 4.058, 4.058 and 4.058 Å, with angles of 90.00, 90.00 and 90.00 degrees. The asymmetric unit holds Mn at (0.000, 0.000, 0.000), Be at (0.000, 0.500, 0.500) and Zn at (0.500, 0.500, 0.500).

---

VASP calculation (PBE) on Tb2Pm4HoEr2 after structural relaxation.

The energy relative to the elements comes out at 0.020 eV per atom. The value obtained for the spin magnetization is 0.00 μB per formula unit. The calculation puts the volume at 293 Å³/f.u.

The space group is C2/m (No. 12) and the conventional cell measures 15.228, 5.068 and 8.006 Å, with angles of 90.00, 108.48 and 90.00 degrees. The asymmetric unit holds Tb at (0.111, 0.000, 0.169), Pm at (0.054, 0.500, 0.831), Pm at (0.222, 0.000, 0.832), Ho at (0.000, 0.000, 0.500) and Er at (0.167, 0.500, 0.500).

---

VASP calculation (PBE) on KCuCl2 after structural relaxation.

The energy above the most stable polymorph in this dataset comes out at 232.0 meV/atom. The value obtained for the spin magnetization is 0.00 μB per formula unit. The calculation puts the volume at 102 Å³/f.u. The calculation puts the uncorrected formation energy at -3.9 eV/f.u.

The space group is P4mm (No. 99) and the conventional cell measures 3.788, 3.788 and 7.135 Å, with angles of 90.00, 90.00 and 90.00 degrees. The asymmetric unit holds K at (0.000, 0.000, 0.000), Cu at (0.500, 0.500, 0.497), Cl at (0.000, 0.000, 0.575) and Cl at (0.500, 0.500, 0.179).